Record 1
Below is a relaxed HgPtRh3 crystal, with properties calculated at the PBE level.

Unit cell a=4.814 b=4.814 c=4.814 alpha=90.00 beta=90.00 gamma=90.00
Space group Pm-3m (No. 221)
Unique sites:
Hg1 0.000 0.000 0.000
Pt1 0.500 0.500 0.500
Rh1 0.000 0.500 0.500

Summary:
Crystal system ... cubic
Theoretical density ... 10.49 g/cm³
Total moment ... 2.632 μB/f.u.
ΔE to the lowest computed polymorph ... 0 meV per atom

***

Record 2
Below is a relaxed HgPt3Rh crystal, with properties calculated at the PBE level.

Unit cell a=4.843 b=4.843 c=4.843 alpha=90.00 beta=90.00 gamma=90.00
Space group Pm-3m (No. 221)
Unique sites:
Hg1 0.000 0.000 0.000
Pt1 0.000 0.500 0.500
Rh1 0.500 0.500 0.500

Summary:
Crystal system ... cubic
Theoretical density ... 13.00 g/cm³
Total moment ... 1.544 μB/f.u.
ΔE to the lowest computed polymorph ... 0 meV per atom

***

Record 3
Below is a relaxed Hg3PtRh crystal, with properties calculated at the PBE level.

Unit cell a=5.172 b=5.172 c=5.172 alpha=90.00 beta=90.00 gamma=90.00
Space group Pm-3m (No. 221)
Unique sites:
Hg1 0.000 0.000 0.500
Pt1 0.000 0.000 0.000
Rh1 0.500 0.500 0.500

Summary:
Crystal system ... cubic
Theoretical density ... 10.80 g/cm³
Total moment ... 0.873 μB/f.u.
ΔE to the lowest computed polymorph ... 0 meV per atom